# 1
DFT (PBE) results for crystalline Ca2SiRh at its relaxed geometry.

crystal system = tetragonal
E_tot = -4.5581 eV/atom

a b c (Å): 10.4907 10.4907 4.5698
angles (deg): 90.00 90.00 90.00
Closest atoms and distances in Å follow each position.
Space group I-42d (No. 122)
One atom of each set of equivalent atoms:
Ca 0.0710 0.2500 0.1250 [8 per cell]  2 Rh 2.79
Si 0.0000 0.0000 0.5000 [4 per cell]  2 Rh 2.28
Rh 0.0000 0.0000 0.0000 [4 per cell]  2 Si 2.28



# 2
DFT (PBE) results for crystalline Ca2Si2SnRh5 at its relaxed geometry.

crystal system = tetragonal
E_tot = -6.3809 eV/atom

a b c (Å): 9.9467 9.9467 3.4120
angles (deg): 90.00 90.00 90.00
Closest atoms and distances in Å follow each position.
Space group P4/mbm (No. 127)
One atom of each set of equivalent atoms:
Ca 0.1745 0.3255 0.0000 [4 per cell]  3 Si 2.84-3.01, 10 Rh 2.99-3.16
Si 0.1234 0.6234 0.0000 [4 per cell]  6 Rh 2.40-2.43
Sn 0.0000 0.0000 0.0000 [2 per cell]  8 Rh 2.83
Rh 0.0000 0.5000 0.5000 [2 per cell]  4 Si 2.43
Rh 0.0697 0.7842 0.5000 [8 per cell]  2 Si 2.40



Number 1: E_form (uncorrected) -363.7 meV per atom. Number 2: E_form (uncorrected) -820.0 meV per atom.